w:
A geometry-optimized LuCuTc structure. Source: the Open Quantum Materials Database, functional PBE.

Calculated density in g/cm³: 9.271

abc: 4.4010 4.4010 4.4010
angles: 60.00 60.00 60.00
Fractional coordinates of all 3 atoms:
Cu 0.2500 0.2500 0.2500
Lu 0.7500 0.7500 0.7500
Tc 0.0000 0.0000 0.0000


x:
A geometry-optimized LuCuTc structure. Source: the Open Quantum Materials Database, functional PBE.

Calculated density in g/cm³: 9.139

abc: 4.4221 4.4221 4.4221
angles: 60.00 60.00 60.00
Fractional coordinates of all 3 atoms:
Cu 0.2500 0.2500 0.2500
Lu 0.0000 0.0000 0.0000
Tc 0.7500 0.7500 0.7500


Unit: kJ/mol of atoms. Relative energies: w 0.0; x 32.4.


w:
A geometry-optimized LuTlCuTc structure. Source: the Open Quantum Materials Database, functional PBE.

Calculated density in g/cm³: 12.043

abc: 4.7248 4.7248 4.7248
angles: 60.00 60.00 60.00
Fractional coordinates of all 4 atoms:
Cu 0.7500 0.7500 0.7500
Lu 0.5000 0.5000 0.5000
Tc 0.2500 0.2500 0.2500
Tl 0.0000 0.0000 0.0000


x:
A geometry-optimized LuTlCuTc structure. Source: the Open Quantum Materials Database, functional PBE.

Calculated density in g/cm³: 11.966

abc: 4.7348 4.7348 4.7348
angles: 60.00 60.00 60.00
Fractional coordinates of all 4 atoms:
Cu 0.7500 0.7500 0.7500
Lu 0.2500 0.2500 0.2500
Tc 0.5000 0.5000 0.5000
Tl 0.0000 0.0000 0.0000


Unit: kJ/mol of atoms. Relative energies: w 0.0; x 18.3.


w:
A geometry-optimized Lu2CuTe3 structure. Source: the Open Quantum Materials Database, functional PBE.

Calculated density in g/cm³: 8.485

abc: 8.9188 4.1350 16.9012
angles: 90.00 90.00 90.00
Fractional coordinates of all 24 atoms:
Cu 0.1331 0.2500 0.1312
Cu 0.6331 0.2500 0.3688
Cu 0.3669 0.7500 0.6312
Cu 0.8669 0.7500 0.8688
Lu 0.7580 0.2500 0.0274
Lu 0.4390 0.7500 0.2147
Lu 0.9390 0.7500 0.2853
Lu 0.2580 0.2500 0.4726
Lu 0.7420 0.7500 0.5274
Lu 0.0610 0.2500 0.7147
Lu 0.5610 0.2500 0.7853
Lu 0.2420 0.7500 0.9726
Te 0.4045 0.2500 0.0747
Te 0.9739 0.7500 0.0992
Te 0.7021 0.2500 0.2167
Te 0.2021 0.2500 0.2833
Te 0.4739 0.7500 0.4008
Te 0.9045 0.2500 0.4253
Te 0.0955 0.7500 0.5747
Te 0.5261 0.2500 0.5992
Te 0.7979 0.7500 0.7167
Te 0.2979 0.7500 0.7833
Te 0.0261 0.2500 0.9008
Te 0.5955 0.7500 0.9253


x:
A geometry-optimized Lu2CuTe3 structure. Source: the Open Quantum Materials Database, functional PBE.

Calculated density in g/cm³: 8.477

abc: 10.8275 4.0520 14.2213
angles: 90.00 90.00 90.00
Fractional coordinates of all 24 atoms:
Cu 0.7625 0.2500 0.2219
Cu 0.2625 0.2500 0.2781
Cu 0.7375 0.7500 0.7219
Cu 0.2375 0.7500 0.7781
Lu 0.7770 0.7500 0.0202
Lu 0.5207 0.7500 0.2452
Lu 0.0207 0.7500 0.2548
Lu 0.2770 0.7500 0.4798
Lu 0.7230 0.2500 0.5202
Lu 0.9793 0.2500 0.7452
Lu 0.4793 0.2500 0.7548
Lu 0.2230 0.2500 0.9798
Te 0.5870 0.2500 0.0961
Te 0.9589 0.2500 0.1045
Te 0.2677 0.7500 0.1511
Te 0.7677 0.7500 0.3489
Te 0.4589 0.2500 0.3955
Te 0.0870 0.2500 0.4039
Te 0.9130 0.7500 0.5961
Te 0.5411 0.7500 0.6045
Te 0.2323 0.2500 0.6511
Te 0.7323 0.2500 0.8489
Te 0.0411 0.7500 0.8955
Te 0.4130 0.7500 0.9039


Unit: kJ/mol of atoms. Relative energies: w 6.8; x 0.0.


w:
A geometry-optimized LuZnCuW structure. Source: the Open Quantum Materials Database, functional PBE.

Calculated density in g/cm³: 11.532

abc: 4.6312 4.6312 4.6312
angles: 60.00 60.00 60.00
Fractional coordinates of all 4 atoms:
Cu 0.7500 0.7500 0.7500
Lu 0.5000 0.5000 0.5000
W 0.2500 0.2500 0.2500
Zn 0.0000 0.0000 0.0000


x:
A geometry-optimized LuZnCuW structure. Source: the Open Quantum Materials Database, functional PBE.

Calculated density in g/cm³: 11.519

abc: 4.6329 4.6329 4.6329
angles: 60.00 60.00 60.00
Fractional coordinates of all 4 atoms:
Cu 0.7500 0.7500 0.7500
Lu 0.2500 0.2500 0.2500
W 0.5000 0.5000 0.5000
Zn 0.0000 0.0000 0.0000


Unit: kJ/mol of atoms. Relative energies: w 0.0; x 6.7.


w:
A geometry-optimized Mg4Cu3 structure. Source: the Open Quantum Materials Database, functional PBE.

Calculated density in g/cm³: 4.172

abc: 7.6154 7.6152 4.5625
angles: 90.00 90.00 60.00
Fractional coordinates of all 14 atoms:
Cu 0.1479 0.2889 0.0000
Cu 0.2774 0.5764 0.0000
Cu 0.8604 0.7060 0.0000
Cu 0.3759 0.0920 0.5000
Cu 0.6634 0.6749 0.5000
Cu 0.2463 0.8045 0.5000
Mg 0.5369 0.1660 0.0000
Mg 0.7374 0.4400 0.0000
Mg 0.4286 0.8572 0.0000
Mg 0.0114 0.9655 0.0000
Mg 0.9869 0.2150 0.5000
Mg 0.5124 0.4155 0.5000
Mg 0.0952 0.5238 0.5000
Mg 0.7864 0.9410 0.5000


x:
A geometry-optimized Mg4Cu3 structure. Source: the Open Quantum Materials Database, functional PBE.

Calculated density in g/cm³: 4.097

abc: 7.6971 7.6973 4.5478
angles: 90.00 90.00 60.00
Fractional coordinates of all 14 atoms:
Cu 0.6899 0.4511 0.0000
Cu 0.3082 0.5733 0.0000
Cu 0.4304 0.8328 0.0000
Cu 0.5220 0.4052 0.5000
Cu 0.6442 0.6648 0.5000
Cu 0.2624 0.7870 0.5000
Mg 0.5675 0.1862 0.0000
Mg 0.1429 0.2857 0.0000
Mg 0.8177 0.7103 0.0000
Mg 0.0434 0.9606 0.0000
Mg 0.3849 0.0518 0.5000
Mg 0.9090 0.2776 0.5000
Mg 0.1347 0.5277 0.5000
Mg 0.8095 0.9524 0.5000


Unit: kJ/mol of atoms. Relative energies: w 0.0; x 3.8.


w:
A geometry-optimized MgNbCuPd structure. Source: the Open Quantum Materials Database, functional PBE.

Calculated density in g/cm³: 7.755

abc: 4.4304 4.4304 4.4304
angles: 60.00 60.00 60.00
Fractional coordinates of all 4 atoms:
Cu 0.2500 0.2500 0.2500
Mg 0.7500 0.7500 0.7500
Nb 0.5000 0.5000 0.5000
Pd 0.0000 0.0000 0.0000


x:
A geometry-optimized MgNbCuPd structure. Source: the Open Quantum Materials Database, functional PBE.

Calculated density in g/cm³: 7.664

abc: 4.4479 4.4479 4.4479
angles: 60.00 60.00 60.00
Fractional coordinates of all 4 atoms:
Cu 0.0000 0.0000 0.0000
Mg 0.7500 0.7500 0.7500
Nb 0.5000 0.5000 0.5000
Pd 0.2500 0.2500 0.2500


y:
A geometry-optimized MgNbCuPd structure. Source: the Open Quantum Materials Database, functional PBE.

Calculated density in g/cm³: 7.512

abc: 4.4776 4.4776 4.4776
angles: 60.00 60.00 60.00
Fractional coordinates of all 4 atoms:
Cu 0.7500 0.7500 0.7500
Mg 0.0000 0.0000 0.0000
Nb 0.5000 0.5000 0.5000
Pd 0.2500 0.2500 0.2500


Unit: kJ/mol of atoms. Relative energies: w 20.0; x 13.8; y 0.0.


w:
A geometry-optimized MgCuNi structure. Source: the Open Quantum Materials Database, functional PBE.

Calculated density in g/cm³: 5.849

abc: 5.9537 3.8407 7.2777
angles: 90.00 90.00 90.00
Fractional coordinates of all 12 atoms:
Cu 0.2487 0.2500 0.1283
Cu 0.7487 0.2500 0.3717
Cu 0.2513 0.7500 0.6283
Cu 0.7513 0.7500 0.8717
Mg 0.5385 0.7500 0.1872
Mg 0.0385 0.7500 0.3128
Mg 0.9615 0.2500 0.6872
Mg 0.4615 0.2500 0.8128
Ni 0.8607 0.2500 0.0527
Ni 0.3607 0.2500 0.4473
Ni 0.6393 0.7500 0.5527
Ni 0.1393 0.7500 0.9473


x:
A geometry-optimized MgCuNi structure. Source: the Open Quantum Materials Database, functional PBE.

Calculated density in g/cm³: 5.830

abc: 6.0140 3.7638 7.3763
angles: 90.00 90.00 90.00
Fractional coordinates of all 12 atoms:
Cu 0.3565 0.2500 0.0514
Cu 0.8565 0.2500 0.4486
Cu 0.1435 0.7500 0.5514
Cu 0.6435 0.7500 0.9486
Mg 0.0382 0.7500 0.1796
Mg 0.5382 0.7500 0.3204
Mg 0.4618 0.2500 0.6796
Mg 0.9618 0.2500 0.8204
Ni 0.7435 0.2500 0.1362
Ni 0.2435 0.2500 0.3638
Ni 0.7565 0.7500 0.6362
Ni 0.2565 0.7500 0.8638


Unit: kJ/mol of atoms. Relative energies: w 0.0; x 0.5.


w:
A geometry-optimized MgTaCuNi structure. Source: the Open Quantum Materials Database, functional PBE.

Calculated density in g/cm³: 9.644

abc: 4.3043 4.3043 4.3043
angles: 60.00 60.00 60.00
Fractional coordinates of all 4 atoms:
Cu 0.5000 0.5000 0.5000
Mg 0.7500 0.7500 0.7500
Ni 0.2500 0.2500 0.2500
Ta 0.0000 0.0000 0.0000


x:
A geometry-optimized MgTaCuNi structure. Source: the Open Quantum Materials Database, functional PBE.

Calculated density in g/cm³: 9.409

abc: 4.3398 4.3398 4.3398
angles: 60.00 60.00 60.00
Fractional coordinates of all 4 atoms:
Cu 0.0000 0.0000 0.0000
Mg 0.7500 0.7500 0.7500
Ni 0.5000 0.5000 0.5000
Ta 0.2500 0.2500 0.2500


y:
A geometry-optimized MgTaCuNi structure. Source: the Open Quantum Materials Database, functional PBE.

Calculated density in g/cm³: 9.514

abc: 4.3238 4.3238 4.3238
angles: 60.00 60.00 60.00
Fractional coordinates of all 4 atoms:
Cu 0.2500 0.2500 0.2500
Mg 0.7500 0.7500 0.7500
Ni 0.5000 0.5000 0.5000
Ta 0.0000 0.0000 0.0000


Unit: kJ/mol of atoms. Relative energies: w 20.0; x 0.0; y 33.6.


w:
A geometry-optimized MgTlCuNi structure. Source: the Open Quantum Materials Database, functional PBE.

Calculated density in g/cm³: 9.188

abc: 4.4762 4.4762 4.4762
angles: 60.00 60.00 60.00
Fractional coordinates of all 4 atoms:
Cu 0.7500 0.7500 0.7500
Mg 0.5000 0.5000 0.5000
Ni 0.2500 0.2500 0.2500
Tl 0.0000 0.0000 0.0000


x:
A geometry-optimized MgTlCuNi structure. Source: the Open Quantum Materials Database, functional PBE.

Calculated density in g/cm³: 9.109

abc: 4.4892 4.4892 4.4892
angles: 60.00 60.00 60.00
Fractional coordinates of all 4 atoms:
Cu 0.5000 0.5000 0.5000
Mg 0.2500 0.2500 0.2500
Ni 0.7500 0.7500 0.7500
Tl 0.0000 0.0000 0.0000


Unit: kJ/mol of atoms. Relative energies: w 0.0; x 7.5.


w:
A geometry-optimized MgPaCu structure. Source: the Open Quantum Materials Database, functional PBE.

Calculated density in g/cm³: 6.930

abc: 4.7631 4.7631 4.7631
angles: 60.00 60.00 60.00
Fractional coordinates of all 3 atoms:
Cu 0.5000 0.5000 0.5000
Mg 0.0000 0.0000 0.0000
Pa 0.2500 0.2500 0.2500


x:
A geometry-optimized MgPaCu structure. Source: the Open Quantum Materials Database, functional PBE.

Calculated density in g/cm³: 7.842

abc: 4.5707 4.5707 4.5707
angles: 60.00 60.00 60.00
Fractional coordinates of all 3 atoms:
Cu 0.0000 0.0000 0.0000
Mg 0.2500 0.2500 0.2500
Pa 0.7500 0.7500 0.7500


Unit: kJ/mol of atoms. Relative energies: w 72.4; x 0.0.


w:
A geometry-optimized MgZnCuPb structure. Source: the Open Quantum Materials Database, functional PBE.

Calculated density in g/cm³: 7.645

abc: 4.8018 4.8018 4.8018
angles: 60.00 60.00 60.00
Fractional coordinates of all 4 atoms:
Cu 0.7500 0.7500 0.7500
Mg 0.5000 0.5000 0.5000
Pb 0.0000 0.0000 0.0000
Zn 0.2500 0.2500 0.2500


x:
A geometry-optimized MgZnCuPb structure. Source: the Open Quantum Materials Database, functional PBE.

Calculated density in g/cm³: 7.771

abc: 4.7757 4.7757 4.7757
angles: 60.00 60.00 60.00
Fractional coordinates of all 4 atoms:
Cu 0.0000 0.0000 0.0000
Mg 0.5000 0.5000 0.5000
Pb 0.2500 0.2500 0.2500
Zn 0.7500 0.7500 0.7500


Unit: kJ/mol of atoms. Relative energies: w 0.0; x 1.6.